SiTcMo2: optimized geometry, GGA-PBE.

Lattice parameters (Å, degrees): 2.7767 2.7767 8.1605 90.00 90.00 109.14
Atoms (fractional coordinates):
Mo1 0.0000 0.0000 0.9965
Mo2 0.5000 0.5000 0.2640
Si1 0.0000 0.0000 0.5058
Tc1 0.5000 0.5000 0.7338

Output
E_form (uncorrected): 0 kJ per mole of atoms
E_tot: -9.366 eV/atom